No. 1
DFT (PBE-GGA) results for a relaxed Dy5ZnPb4 crystal.

## Properties
The calculated volume is 298.9 Å³ per cell. Its space group is No. 79. For the density of states at the Fermi level, the calculation gives 6.0 states/eV/f.u.

Cell and atoms, written as POSCAR:
```
Dy5ZnPb4
1.0
-4.8731 4.8731 3.1467
4.8731 -4.8731 3.1467
4.8731 4.8731 -3.1467
Dy Zn Pb
5 1 4
direct
0.0000 0.0000 0.0000
0.3587 0.5711 0.6005
0.5711 0.9706 0.2124
0.7583 0.3587 0.7876
0.9706 0.7583 0.3995
0.5008 0.5008 0.0000
0.0682 0.4547 0.1846
0.2700 0.8836 0.8154
0.4547 0.2700 0.3864
0.8836 0.0682 0.6136
```

=====

No. 2
DFT (PBE-GGA) results for a relaxed Dy2ZnPb crystal.

## Properties
The calculated volume is 211.8 Å³ per cell. Its space group is No. 11. For the density of states at the Fermi level, the calculation gives 4.8 states/eV/f.u.

Cell and atoms, written as POSCAR:
```
Dy2ZnPb
1.0
6.1429 0.0000 0.0000
0.0000 4.3880 0.0000
-3.0144 0.0000 7.8567
Dy Zn Pb
4 2 2
direct
0.1989 0.2500 0.4372
0.2228 0.2500 0.9183
0.7772 0.7500 0.0817
0.8011 0.7500 0.5628
0.3369 0.7500 0.7068
0.6631 0.2500 0.2932
0.3305 0.7500 0.2113
0.6695 0.2500 0.7887
```

=====

No. 3
DFT (PBE-GGA) results for a relaxed Dy3ZnPb3 crystal.

## Properties
The calculated volume is 378.6 Å³ per cell. Its space group is No. 12. For the density of states at the Fermi level, the calculation gives 4.0 states/eV/f.u.

Cell and atoms, written as POSCAR:
```
Dy3ZnPb3
1.0
5.7937 -2.2467 0.0000
5.7937 2.2467 0.0000
-4.7960 0.0000 14.5445
Dy Zn Pb
6 2 6
direct
0.0136 0.0136 0.3782
0.0966 0.0966 0.9221
0.2275 0.2275 0.2312
0.7725 0.7725 0.7688
0.9034 0.9034 0.0779
0.9864 0.9864 0.6218
0.2705 0.2705 0.6344
0.7295 0.7295 0.3656
0.3493 0.3493 0.4617
0.3666 0.3666 0.9241
0.4976 0.4976 0.2300
0.5024 0.5024 0.7700
0.6334 0.6334 0.0759
0.6507 0.6507 0.5383
```

=====

No. 4
DFT (PBE-GGA) results for a relaxed Dy2Zn5Pb crystal.

## Properties
The calculated volume is 323.9 Å³ per cell. Its space group is No. 63. For the density of states at the Fermi level, the calculation gives 4.0 states/eV/f.u.

Cell and atoms, written as POSCAR:
```
Dy2Zn5Pb
1.0
2.1798 -8.1813 0.0000
2.1798 8.1813 0.0000
0.0000 0.0000 9.0809
Dy Zn Pb
4 10 2
direct
0.0000 0.0000 0.0000
0.0000 0.0000 0.5000
0.2021 0.7979 0.7500
0.7979 0.2021 0.2500
0.1870 0.8130 0.1093
0.1870 0.8130 0.3907
0.3417 0.6583 0.0184
0.3417 0.6583 0.4816
0.3864 0.6136 0.7500
0.6136 0.3864 0.2500
0.6583 0.3417 0.5184
0.6583 0.3417 0.9816
0.8130 0.1870 0.6093
0.8130 0.1870 0.8907
0.4499 0.5501 0.2500
0.5501 0.4499 0.7500
```

=====

No. 5
DFT (PBE-GGA) results for a relaxed Dy3Zr2Pb3 crystal.

## Properties
The calculated volume is 428.3 Å³ per cell. Its space group is No. 193. For the density of states at the Fermi level, the calculation gives 6.8 states/eV/f.u.

Cell and atoms, written as POSCAR:
```
Dy3Zr2Pb3
1.0
8.9490 0.0000 0.0000
-4.4745 7.7500 0.0000
0.0000 0.0000 6.1756
Dy Zr Pb
6 4 6
direct
0.0000 0.2397 0.2500
0.0000 0.7603 0.7500
0.2397 0.0000 0.2500
0.2397 0.2397 0.7500
0.7603 0.0000 0.7500
0.7603 0.7603 0.2500
0.3333 0.6667 0.0000
0.3333 0.6667 0.5000
0.6667 0.3333 0.0000
0.6667 0.3333 0.5000
0.0000 0.3983 0.7500
0.0000 0.6017 0.2500
0.3983 0.0000 0.7500
0.3983 0.3983 0.2500
0.6017 0.0000 0.2500
0.6017 0.6017 0.7500
```

=====

No. 6
DFT (PBE-GGA) results for a relaxed DyZr2Pb crystal.

## Properties
The calculated volume is 98.3 Å³ per cell. Its space group is No. 123. For the density of states at the Fermi level, the calculation gives 4.7 states/eV/f.u.

Cell and atoms, written as POSCAR:
```
DyZr2Pb
1.0
4.5985 0.0000 0.0000
0.0000 4.5985 0.0000
0.0000 0.0000 4.6469
Dy Zr Pb
1 2 1
direct
0.0000 0.0000 0.0000
0.0000 0.5000 0.5000
0.5000 0.0000 0.5000
0.5000 0.5000 0.0000
```

=====

no.,energy of formation from the pure elements (eV/f.u.)
1,-2.74
2,-1.57
3,-2.91
4,-2.70
5,-3.52
6,-0.54